# 1
Entry from Alexandria: an optimized crystal structure of TaCo2W2 (PBE-GGA).

Cell lengths 6.6847, 6.6847, 6.6847 Å; angles 149.58, 149.58, 43.56 degrees
With the nearest neighbours (Å) after each atom.
Atoms (fractional coordinates):
Ta: 0.0000 0.0000 0.0000  8 W 2.83
Co: 0.2500 0.7500 0.5000  4 W 2.47, 4 Co 2.48
Co: 0.7500 0.2500 0.5000  4 W 2.47, 4 Co 2.48
W: 0.6102 0.6102 0.0000  4 Co 2.47, 1 W 2.74
W: 0.3898 0.3898 0.0000  4 Co 2.47, 1 W 2.74

Properties
Calculated formation energy = 47.3 kJ/mol of atoms
ΔE to the lowest computed polymorph = 0.389 eV/atom
DOS at the Fermi energy = 5.32 states/eV/cell
Magnetic moment = 0.00 μB per formula unit
E = -9.90 eV/atom

***

# 2
Entry from Alexandria: an optimized crystal structure of TaCo2W (PBE-GGA).

Cell lengths 2.7262, 2.7262, 7.3548 Å; angles 90.00, 90.00, 90.06 degrees
With the nearest neighbours (Å) after each atom.
Atoms (fractional coordinates):
Co: 0.0000 0.0000 0.9916  4 W 2.62, 4 Ta 2.71, 4 Co 2.73
Co: 0.0000 0.0000 0.5084  4 W 2.62, 4 Ta 2.71, 4 Co 2.73
Ta: 0.5000 0.5000 0.2500  8 Co 2.71, 4 Ta 2.73
W: 0.5000 0.5000 0.7500  8 Co 2.62, 4 W 2.73

Properties
Calculated formation energy = -1.6 kJ/mol of atoms
DOS at the Fermi energy = 4.34 states/eV/cell
Magnetic moment = 0.00 μB per formula unit
E = -9.77 eV/atom

***

# 3
Entry from Alexandria: an optimized crystal structure of TaCo2W (PBE-GGA).

Cell lengths 4.3750, 4.3750, 2.9302 Å; angles 90.00, 90.00, 90.00 degrees
With the nearest neighbours (Å) after each atom.
Atoms (fractional coordinates):
Co: 0.0000 0.0000 0.0000  4 Ta 2.63, 4 W 2.63, 2 Co 2.93
Co: 0.5000 0.5000 0.0000  4 Ta 2.63, 4 W 2.63, 2 Co 2.93
Ta: 0.5000 0.0000 0.5000  8 Co 2.63, 2 Ta 2.93
W: 0.0000 0.5000 0.5000  8 Co 2.63, 2 W 2.93

Properties
Calculated formation energy = 9.7 kJ/mol of atoms
DOS at the Fermi energy = 4.96 states/eV/cell
Magnetic moment = 3.29 μB per formula unit
E = -9.65 eV/atom

***

# 4
Entry from Alexandria: an optimized crystal structure of Ta4CoW (PBE-GGA).

Cell lengths 5.3367, 5.3367, 5.3367 Å; angles 60.00, 60.00, 60.00 degrees
With the nearest neighbours (Å) after each atom.
Atoms (fractional coordinates):
Ta: 0.8722 0.3759 0.3759  6 Ta 2.65-2.69
Ta: 0.3759 0.3759 0.8722  6 Ta 2.65-2.69
Ta: 0.3759 0.8722 0.3759  6 Ta 2.65-2.69
Ta: 0.3759 0.3759 0.3759  6 Ta 2.65-2.69
Co: 0.0000 0.0000 0.0000  12 Ta 3.13, 4 W 3.27
W: 0.7500 0.7500 0.7500  12 Ta 3.13, 4 Co 3.27

Properties
Calculated formation energy = 60.8 kJ/mol of atoms
DOS at the Fermi energy = 7.09 states/eV/cell
Magnetic moment = 1.82 μB per formula unit
E = -10.61 eV/atom

***

# 5
Entry from Alexandria: an optimized crystal structure of TaCo2W (PBE-GGA).

Cell lengths 4.5919, 4.5919, 4.8057 Å; angles 80.06, 80.06, 34.78 degrees
With the nearest neighbours (Å) after each atom.
Atoms (fractional coordinates):
Co: 0.9979 0.9979 0.0178  6 Co 2.63-2.91, 3 W 2.64-2.65, 3 Ta 2.72
Co: 0.5021 0.5021 0.4822  6 Co 2.63-2.91, 3 W 2.64-2.65, 3 Ta 2.72
Ta: 0.7500 0.7500 0.7500  6 Co 2.72, 2 Ta 2.74, 4 W 2.77
W: 0.2500 0.2500 0.2500  6 Co 2.64-2.65, 2 W 2.74, 4 Ta 2.77

Properties
Calculated formation energy = 23.7 kJ/mol of atoms
DOS at the Fermi energy = 4.50 states/eV/cell
Magnetic moment = 1.32 μB per formula unit
E = -9.51 eV/atom

***

# 6
Entry from Alexandria: an optimized crystal structure of TaCo3W (PBE-GGA).

Cell lengths 4.3533, 4.3533, 4.3533 Å; angles 90.00, 90.00, 90.00 degrees
With the nearest neighbours (Å) after each atom.
Atoms (fractional coordinates):
Co: 0.0000 0.5000 0.0000  2 W 2.18
Co: 0.0000 0.0000 0.5000  2 W 2.18
Co: 0.5000 0.0000 0.0000  2 W 2.18
W: 0.0000 0.0000 0.0000  6 Co 2.18
Ta: 0.5000 0.5000 0.5000  12 Co 3.08

Properties
Calculated formation energy = 139.7 kJ/mol of atoms
ΔE to the lowest computed polymorph = 0.000 eV/atom
DOS at the Fermi energy = 9.09 states/eV/cell
Magnetic moment = 0.39 μB per formula unit
E = -7.78 eV/atom